A plane-wave DFT calculation with PBE with a Hubbard U was carried out for a relaxed VCdO2 crystal.

## Properties
Raw total energy ... -186.20 eV/cell
Magnetization ... 0.269 μB/atom

Unit cell a=8.422 b=8.422 c=8.422 alpha=90.00 beta=90.00 gamma=90.00
Space group Fd-3m (No. 227, origin choice 2)
One atom of each set of equivalent atoms:
V 0.125 0.125 0.125 (multiplicity 8)
Cd 0.125 0.125 0.625 (multiplicity 8)
O 0.000 0.000 0.000 (multiplicity 16)